[1]
Below is Rb3SnBi after structural relaxation, with properties calculated at the PBE-GGA level.

Results
The calculation puts the formation energy at 0.202 eV/atom. The value obtained for the energy above the lowest structure with this stoichiometry is 0.354 eV/atom. The calculation puts the calculated volume at 72.9 Å³/atom.

a b c (Å): 7.142 7.142 7.142
angles (deg): 90.00 90.00 90.00
Space group Pm-3m (No. 221)
Symmetry-distinct sites (fractional):
Rb (0.000, 0.000, 0.500) [3 per cell]
Sn (0.500, 0.500, 0.500) [1 per cell]
Bi (0.000, 0.000, 0.000) [1 per cell]


[2]
Below is RbSnBi2 after structural relaxation, with properties calculated at the PBE-GGA level.

Results
The calculation puts the formation energy at -0.009 eV/atom. The calculation puts the calculated volume at 38.4 Å³/atom.

a b c (Å): 4.2558 4.2558 29.4034
angles (deg): 90.00 90.00 120.00
Space group R-3m (No. 166, hexagonal axes)
Symmetry-distinct sites (fractional):
Rb (0.0000, 0.0000, 0.0000) [3 per cell]
Sn (0.0000, 0.0000, 0.5000) [3 per cell]
Bi (0.0000, 0.0000, 0.2315) [6 per cell]


[3]
Below is Rb3SnBi after structural relaxation, with properties calculated at the PBE-GGA level.

Results
The calculation puts the formation energy at -0.152 eV/atom. The value obtained for the energy above the lowest structure with this stoichiometry is 0.000 eV/atom. The calculation puts the calculated volume at 54.3 Å³/atom.

a b c (Å): 13.314 11.816 9.218
angles (deg): 90.00 131.50 90.00
Space group C2/m (No. 12)
Symmetry-distinct sites (fractional):
Rb (0.057, 0.000, 0.341) [4 per cell]
Rb (0.218, 0.315, 0.758) [8 per cell]
Sn (0.198, 0.500, 0.119) [4 per cell]
Bi (0.066, 0.500, 0.287) [4 per cell]